Record 1
Below is a relaxed CoNiIr4 crystal, with properties calculated at the PBE level.

POSCAR file:
```
CoNiIr4
1.0
8.317 0.000 0.000
0.000 2.700 0.000
-3.770 0.000 7.413
Co Ni Ir
2 2 8
Direct
0.000 0.000 0.000
0.500 0.500 0.000
0.000 0.500 0.500
0.500 0.000 0.500
0.154 0.000 0.345
0.154 0.500 0.848
0.346 0.000 0.152
0.346 0.500 0.655
0.654 0.000 0.848
0.654 0.500 0.345
0.846 0.000 0.655
0.846 0.500 0.152
```

Values from the calculation:
M_tot: 0.11 μB/atom
D(E_F): 13.0 states/eV per cell
DFT total energy: -7.9051 eV/atom
theoretical density: 17.7 Mg/m³
distance to the lowest polymorph of the same formula: 116.6 meV/atom
energy of formation: 0.1501 eV per atom

Record 2
Below is a relaxed Co2Ni9Ir crystal, with properties calculated at the PBE level.

POSCAR file:
```
Co2Ni9Ir
1.0
3.562 0.000 0.000
0.000 3.562 0.000
0.000 0.000 10.663
Co Ni Ir
2 9 1
Direct
0.000 0.000 0.163
0.000 0.000 0.837
0.000 0.500 0.000
0.000 0.500 0.326
0.000 0.500 0.674
0.500 0.000 0.000
0.500 0.000 0.326
0.500 0.000 0.674
0.500 0.500 0.163
0.500 0.500 0.500
0.500 0.500 0.837
0.000 0.000 0.500
```

Values from the calculation:
M_tot: 0.83 μB/atom
D(E_F): 21.6 states/eV per cell
DFT total energy: -6.2258 eV/atom
theoretical density: 10.3 Mg/m³
energy of formation: 0.0329 eV per atom

Record 3
Below is a relaxed Co2NiIr crystal, with properties calculated at the PBE level.

POSCAR file:
```
Co2NiIr
1.0
3.640 0.000 0.000
0.000 3.640 0.000
0.000 0.000 7.236
Co Ni Ir
4 2 2
Direct
0.000 0.000 0.000
0.000 0.500 0.250
0.500 0.000 0.750
0.500 0.500 0.500
0.000 0.500 0.750
0.500 0.000 0.250
0.000 0.000 0.500
0.500 0.500 0.000
```

Values from the calculation:
M_tot: 1.16 μB/atom
D(E_F): 10.5 states/eV per cell
DFT total energy: -7.1802 eV/atom
theoretical density: 12.8 Mg/m³
energy of formation: 0.0333 eV per atom

Record 4
Below is a relaxed Co2Ni5Ir crystal, with properties calculated at the PBE level.

POSCAR file:
```
Co2Ni5Ir
1.0
-3.071 3.071 5.067
3.071 -3.071 5.067
3.071 3.071 -5.067
Co Ni Ir
4 10 2
Direct
0.138 0.638 0.777
0.362 0.138 0.500
0.638 0.862 0.500
0.862 0.362 0.223
0.000 0.000 0.000
0.012 0.813 0.500
0.187 0.687 0.198
0.313 0.512 0.500
0.488 0.988 0.802
0.500 0.500 0.000
0.512 0.012 0.198
0.687 0.488 0.500
0.813 0.313 0.802
0.988 0.187 0.500
0.250 0.250 0.000
0.750 0.750 0.000
```

Values from the calculation:
M_tot: 0.82 μB/atom
D(E_F): 30.6 states/eV per cell
DFT total energy: -6.2241 eV/atom
theoretical density: 10.5 Mg/m³
distance to the lowest polymorph of the same formula: 205.3 meV/atom
energy of formation: 0.2734 eV per atom

Record 5
Below is a relaxed CoNi2Ir crystal, with properties calculated at the PBE level.

POSCAR file:
```
CoNi2Ir
1.0
6.475 0.000 0.000
0.000 6.475 0.000
0.000 0.000 4.962
Co Ni Ir
4 8 4
Direct
0.000 0.000 0.000
0.000 0.500 0.250
0.500 0.000 0.750
0.500 0.500 0.500
0.233 0.250 0.125
0.250 0.733 0.375
0.250 0.767 0.875
0.267 0.250 0.625
0.733 0.750 0.625
0.750 0.233 0.875
0.750 0.267 0.375
0.767 0.750 0.125
0.000 0.000 0.500
0.000 0.500 0.750
0.500 0.000 0.250
0.500 0.500 0.000
```

Values from the calculation:
M_tot: 0.89 μB/atom
D(E_F): 28.2 states/eV per cell
DFT total energy: -6.3346 eV/atom
theoretical density: 11.8 Mg/m³
distance to the lowest polymorph of the same formula: 522.7 meV/atom
energy of formation: 0.5478 eV per atom

Record 6
Below is a relaxed CoNiIr3 crystal, with properties calculated at the PBE level.

POSCAR file:
```
CoNiIr3
1.0
4.423 0.000 0.000
0.000 4.423 0.000
0.000 0.000 4.423
Co Ni Ir
1 1 3
Direct
0.000 0.000 0.000
0.500 0.500 0.500
0.000 0.000 0.500
0.000 0.500 0.000
0.500 0.000 0.000
```

Values from the calculation:
M_tot: 0.96 μB/atom
D(E_F): 6.6 states/eV per cell
DFT total energy: -6.2658 eV/atom
theoretical density: 13.3 Mg/m³
distance to the lowest polymorph of the same formula: 1465.3 meV/atom
energy of formation: 1.6282 eV per atom

Record 7
Below is a relaxed Co2NiIr crystal, with properties calculated at the PBE level.

POSCAR file:
```
Co2NiIr
1.0
4.418 0.000 0.000
0.000 2.593 0.000
-1.428 0.000 4.202
Co Ni Ir
2 1 1
Direct
0.000 0.000 0.000
0.500 0.500 0.000
0.000 0.500 0.500
0.500 0.000 0.500
```

Values from the calculation:
M_tot: 1.06 μB/atom
D(E_F): 5.2 states/eV per cell
DFT total energy: -7.1815 eV/atom
theoretical density: 12.7 Mg/m³
energy of formation: 0.0320 eV per atom

Record 8
Below is a relaxed Co8Ni2Ir crystal, with properties calculated at the PBE level.

POSCAR file:
```
Co8Ni2Ir
1.0
5.252 -2.306 0.000
5.252 2.306 0.000
-2.970 0.000 5.499
Co Ni Ir
8 2 1
Direct
0.113 0.113 0.002
0.127 0.646 0.603
0.236 0.236 0.780
0.354 0.873 0.397
0.646 0.127 0.603
0.764 0.764 0.220
0.873 0.354 0.397
0.887 0.887 0.998
0.374 0.374 0.254
0.626 0.626 0.746
0.500 0.500 0.000
```

Values from the calculation:
M_tot: 1.41 μB/atom
D(E_F): 13.4 states/eV per cell
DFT total energy: -6.7699 eV/atom
theoretical density: 9.7 Mg/m³
energy of formation: 0.2547 eV per atom

Record 9
Below is a relaxed Co5Ni8Ir crystal, with properties calculated at the PBE level.

POSCAR file:
```
Co5Ni8Ir
1.0
-3.480 3.480 3.457
3.480 -3.480 3.457
3.480 3.480 -3.457
Co Ni Ir
5 8 1
Direct
0.000 0.000 0.000
0.228 0.308 0.700
0.472 0.772 0.081
0.609 0.528 0.300
0.692 0.391 0.919
0.120 0.417 0.054
0.364 0.067 0.946
0.429 0.154 0.405
0.583 0.636 0.703
0.750 0.024 0.595
0.846 0.250 0.275
0.933 0.880 0.297
0.976 0.571 0.725
0.250 0.750 0.500
```

Values from the calculation:
M_tot: 1.07 μB/atom
D(E_F): 16.9 states/eV per cell
DFT total energy: -6.1810 eV/atom
theoretical density: 9.5 Mg/m³
distance to the lowest polymorph of the same formula: 129.0 meV/atom
energy of formation: 0.2933 eV per atom

Record 10
Below is a relaxed Co3Ni2Ir4 crystal, with properties calculated at the PBE level.

POSCAR file:
```
Co3Ni2Ir4
1.0
6.797 -1.338 0.000
6.797 1.338 0.000
-2.991 0.000 6.320
Co Ni Ir
3 2 4
Direct
0.000 0.000 0.000
0.149 0.149 0.670
0.851 0.851 0.330
0.333 0.333 0.005
0.667 0.667 0.995
0.187 0.187 0.326
0.483 0.483 0.670
0.517 0.517 0.330
0.813 0.813 0.674
```

Values from the calculation:
M_tot: 0.78 μB/atom
D(E_F): 13.3 states/eV per cell
DFT total energy: -7.5420 eV/atom
theoretical density: 15.4 Mg/m³
energy of formation: 0.0496 eV per atom

Record 11
Below is a relaxed Co2NiIr crystal, with properties calculated at the PBE level.

POSCAR file:
```
Co2NiIr
1.0
4.489 0.000 0.000
0.000 8.370 0.000
0.000 0.000 5.125
Co Ni Ir
8 4 4
Direct
0.247 0.002 0.125
0.247 0.498 0.125
0.253 0.502 0.625
0.253 0.998 0.625
0.747 0.002 0.375
0.747 0.498 0.375
0.753 0.502 0.875
0.753 0.998 0.875
0.081 0.750 0.871
0.419 0.250 0.371
0.581 0.750 0.629
0.919 0.250 0.129
0.078 0.750 0.376
0.422 0.250 0.876
0.578 0.750 0.124
0.922 0.250 0.624
```

Values from the calculation:
M_tot: 1.11 μB/atom
D(E_F): 21.7 states/eV per cell
DFT total energy: -7.2000 eV/atom
theoretical density: 12.7 Mg/m³
energy of formation: 0.0135 eV per atom

Record 12
Below is a relaxed Co3Ni12Ir crystal, with properties calculated at the PBE level.

POSCAR file:
```
Co3Ni12Ir
1.0
3.552 0.000 0.000
0.000 3.552 0.000
0.000 0.000 14.194
Co Ni Ir
3 12 1
Direct
0.000 0.000 0.000
0.000 0.000 0.245
0.000 0.000 0.755
0.000 0.500 0.123
0.000 0.500 0.368
0.000 0.500 0.632
0.000 0.500 0.877
0.500 0.000 0.123
0.500 0.000 0.368
0.500 0.000 0.632
0.500 0.000 0.877
0.500 0.500 0.000
0.500 0.500 0.246
0.500 0.500 0.500
0.500 0.500 0.754
0.000 0.000 0.500
```

Values from the calculation:
M_tot: 0.89 μB/atom
D(E_F): 27.3 states/eV per cell
DFT total energy: -6.1951 eV/atom
theoretical density: 10.0 Mg/m³
energy of formation: 0.0271 eV per atom

Record 13
Below is a relaxed CoNi2Ir crystal, with properties calculated at the PBE level.

POSCAR file:
```
CoNi2Ir
1.0
5.800 0.000 0.000
0.000 5.800 0.000
0.000 0.000 5.800
Co Ni Ir
4 8 4
Direct
0.000 0.000 0.000
0.000 0.500 0.500
0.500 0.000 0.500
0.500 0.500 0.000
0.000 0.000 0.500
0.000 0.500 0.000
0.250 0.250 0.250
0.250 0.750 0.750
0.500 0.000 0.000
0.500 0.500 0.500
0.750 0.250 0.750
0.750 0.750 0.250
0.250 0.250 0.750
0.250 0.750 0.250
0.750 0.250 0.250
0.750 0.750 0.750
```

Values from the calculation:
M_tot: 1.06 μB/atom
D(E_F): 20.7 states/eV per cell
DFT total energy: -6.7257 eV/atom
theoretical density: 12.5 Mg/m³
distance to the lowest polymorph of the same formula: 131.6 meV/atom
energy of formation: 0.1567 eV per atom

Record 14
Below is a relaxed CoNi3Ir crystal, with properties calculated at the PBE level.

POSCAR file:
```
CoNi3Ir
1.0
4.162 0.000 0.000
0.000 4.162 0.000
0.000 0.000 4.162
Co Ni Ir
1 3 1
Direct
0.000 0.000 0.000
0.000 0.000 0.500
0.000 0.500 0.000
0.500 0.000 0.000
0.500 0.500 0.500
```

Values from the calculation:
M_tot: 0.97 μB/atom
D(E_F): 7.8 states/eV per cell
DFT total energy: -5.4448 eV/atom
theoretical density: 9.8 Mg/m³
distance to the lowest polymorph of the same formula: 1057.6 meV/atom
energy of formation: 1.2174 eV per atom

Record 15
Below is a relaxed Co4Ni3Ir2 crystal, with properties calculated at the PBE level.

POSCAR file:
```
Co4Ni3Ir2
1.0
5.001 0.000 0.000
0.000 11.128 0.000
0.000 0.000 3.991
Co Ni Ir
8 6 4
Direct
0.115 0.203 0.000
0.134 0.882 0.500
0.366 0.382 0.000
0.385 0.703 0.500
0.615 0.297 0.500
0.634 0.618 0.000
0.866 0.118 0.500
0.885 0.797 0.000
0.000 0.000 0.000
0.118 0.331 0.500
0.382 0.831 0.000
0.500 0.500 0.500
0.618 0.169 0.000
0.882 0.669 0.500
0.152 0.594 0.000
0.348 0.094 0.500
0.652 0.906 0.500
0.848 0.406 0.000
```

Values from the calculation:
M_tot: 1.12 μB/atom
D(E_F): 20.4 states/eV per cell
DFT total energy: -6.8955 eV/atom
theoretical density: 11.9 Mg/m³
energy of formation: 0.1589 eV per atom

Record 16
Below is a relaxed CoNiIr crystal, with properties calculated at the PBE level.

POSCAR file:
```
CoNiIr
1.0
2.624 0.000 0.000
0.000 2.624 0.000
0.000 0.000 10.730
Co Ni Ir
2 2 2
Direct
0.000 0.000 0.000
0.500 0.500 0.500
0.000 0.000 0.659
0.500 0.500 0.159
0.000 0.000 0.333
0.500 0.500 0.833
```

Values from the calculation:
M_tot: 0.80 μB/atom
D(E_F): 8.8 states/eV per cell
DFT total energy: -7.1865 eV/atom
theoretical density: 13.9 Mg/m³
distance to the lowest polymorph of the same formula: 27.4 meV/atom
energy of formation: 0.0629 eV per atom

Record 17
Below is a relaxed CoNiIr crystal, with properties calculated at the PBE level.

POSCAR file:
```
CoNiIr
1.0
2.636 0.000 0.000
-1.318 2.283 0.000
0.000 0.000 6.231
Co Ni Ir
1 1 1
Direct
0.000 0.000 0.000
0.333 0.667 0.684
0.667 0.333 0.338
```

Values from the calculation:
M_tot: 0.90 μB/atom
D(E_F): 4.7 states/eV per cell
DFT total energy: -7.1856 eV/atom
theoretical density: 13.7 Mg/m³
distance to the lowest polymorph of the same formula: 28.3 meV/atom
energy of formation: 0.0638 eV per atom

Record 18
Below is a relaxed Co2NiIr crystal, with properties calculated at the PBE level.

POSCAR file:
```
Co2NiIr
1.0
2.996 0.000 0.000
0.000 2.996 0.000
0.000 0.000 5.404
Co Ni Ir
2 1 1
Direct
0.000 0.000 0.225
0.000 0.000 0.775
0.500 0.500 0.000
0.500 0.500 0.500
```

Values from the calculation:
M_tot: 1.34 μB/atom
D(E_F): 4.1 states/eV per cell
DFT total energy: -7.0739 eV/atom
theoretical density: 12.6 Mg/m³
energy of formation: 0.1396 eV per atom

Record 19
Below is a relaxed Co5Ni5Ir crystal, with properties calculated at the PBE level.

POSCAR file:
```
Co5Ni5Ir
1.0
4.875 0.000 0.000
1.249 4.804 0.000
1.210 1.004 5.647
Co Ni Ir
5 5 1
Direct
0.000 0.000 0.000
0.177 0.728 0.331
0.298 0.370 0.666
0.702 0.630 0.334
0.823 0.272 0.669
0.147 0.255 0.301
0.332 0.868 0.648
0.500 0.500 0.000
0.668 0.132 0.352
0.853 0.745 0.699
0.500 0.000 0.000
```

Values from the calculation:
M_tot: 1.20 μB/atom
D(E_F): 14.1 states/eV per cell
DFT total energy: -6.4890 eV/atom
theoretical density: 9.8 Mg/m³
energy of formation: 0.1744 eV per atom

Record 20
Below is a relaxed CoNi2Ir crystal, with properties calculated at the PBE level.

POSCAR file:
```
CoNi2Ir
1.0
2.673 0.000 0.000
0.000 4.397 0.000
0.000 0.000 8.491
Co Ni Ir
2 4 2
Direct
0.000 0.000 0.000
0.500 0.500 0.000
0.000 0.000 0.522
0.000 0.500 0.762
0.500 0.000 0.762
0.500 0.500 0.522
0.000 0.500 0.260
0.500 0.000 0.260
```

Values from the calculation:
M_tot: 0.97 μB/atom
D(E_F): 15.1 states/eV per cell
DFT total energy: -6.6580 eV/atom
theoretical density: 12.3 Mg/m³
distance to the lowest polymorph of the same formula: 199.3 meV/atom
energy of formation: 0.2244 eV per atom